Record 1
# PrTe2Au

A relaxed PrTe2Au crystal (PBE-GGA, the Alexandria database).

```
16
Lattice="-2.723 -6.191 0.836 7.016 -3.551 -3.484 3.346 -0.494 7.240" Properties=species:S:1:pos:R:3 pbc="T T T"
Te 5.785 -2.674 3.758
Te 2.278 -0.898 5.501
Te 1.854 -7.561 0.833
Te 1.026 -3.173 -0.012
Te 5.692 -5.119 0.752
Te 1.946 -5.116 3.840
Te 6.612 -7.062 4.604
Te 5.361 -9.337 -0.910
Pr 2.714 -6.454 6.743
Pr 4.839 -8.025 2.009
Pr 4.925 -3.781 -2.152
Pr 2.800 -2.210 2.583
Au 2.999 -4.966 0.483
Au 4.639 -5.269 4.109
Au -0.511 -3.190 2.221
Au 8.149 -7.045 2.371
```

* energy: -4.543 eV/atom
* V: 29.3 Å³ per atom
* raw formation energy: -958 meV per atom
* total magnetic moment: 0.0000 μB/atom



Record 2
# Ac12PrIn6

A relaxed Ac12PrIn6 crystal (PBE-GGA, the Alexandria database).

```
19
Lattice="8.863 0.783 0.938 -0.570 8.880 0.938 -0.570 -0.664 8.904" Properties=species:S:1:pos:R:3 pbc="T T T"
In 0.432 6.507 3.190
In 6.366 2.886 1.961
In 1.358 6.112 8.819
In 7.291 2.492 7.590
In 5.836 8.272 3.808
In 1.888 0.727 6.972
Ac 1.146 3.462 0.785
Ac 4.658 1.821 4.891
Ac 3.994 3.714 8.114
Ac 6.577 5.537 9.995
Ac 3.248 0.477 1.771
Ac 6.629 5.058 5.105
Ac 3.066 7.177 5.889
Ac 4.475 8.522 9.009
Ac 3.729 5.284 2.666
Ac 7.745 7.842 7.234
Ac -0.021 1.156 3.547
Ac 1.094 3.941 5.675
Pr 0.000 0.000 0.000
```

* energy: -3.877 eV/atom
* V: 37.6 Å³ per atom
* density of states at the Fermi level: 21.82 states/eV/cell
* total magnetic moment: 0.0000 μB/atom



Record 3
# Pa3GeS2

A relaxed Pa3GeS2 crystal (PBE-GGA, the Alexandria database).

```
6
Lattice="-1.208 3.776 0.914 -3.184 0.104 -4.643 -2.292 -4.110 4.894" Properties=species:S:1:pos:R:3 pbc="T T T"
Ge -3.342 -0.114 0.582
S -4.083 2.529 -2.265
S -2.602 -2.758 3.429
Pa -4.320 -2.767 1.193
Pa -1.750 -0.167 2.904
Pa -2.365 2.538 -0.028
```

* energy: -8.121 eV/atom
* V: 22.3 Å³ per atom
* raw formation energy: -1228 meV per atom
* density of states at the Fermi level: 8.72 states/eV/cell
* total magnetic moment: 0.0000 μB/atom



Record 4
# Y4TmAl

A relaxed Y4TmAl crystal (PBE-GGA, the Alexandria database).

```
6
Lattice="-2.192 2.502 -1.210 -2.294 -0.759 2.586 6.210 9.445 8.283" Properties=species:S:1:pos:R:3 pbc="T T T"
Tm 0.862 5.594 4.829
Y -1.401 2.152 1.811
Y 2.006 3.051 2.675
Y 3.125 9.035 7.847
Y -0.281 8.137 6.984
Al 0.000 0.000 0.000
```

* energy: -5.806 eV/atom
* V: 29.3 Å³ per atom
* density of states at the Fermi level: 6.61 states/eV/cell
* total magnetic moment: 0.0000 μB/atom
* offset from the most stable computed form: 0 meV per atom



Record 5
# Sr2Zn4Ga3Si

A relaxed Sr2Zn4Ga3Si crystal (PBE-GGA, the Alexandria database).

```
10
Lattice="4.367 0.000 0.000 0.000 4.367 0.000 0.000 0.000 10.779" Properties=species:S:1:pos:R:3 pbc="T T T"
Si 2.184 2.184 5.390
Zn 2.184 0.000 6.796
Zn 0.000 0.000 0.000
Zn 0.000 2.184 3.984
Zn 2.184 2.184 0.000
Sr 2.184 0.000 2.719
Sr 0.000 2.184 8.060
Ga 2.184 0.000 9.352
Ga 0.000 0.000 5.390
Ga 0.000 2.184 1.427
```

* energy: -2.616 eV/atom
* V: 20.6 Å³ per atom
* raw formation energy: -319 meV per atom
* density of states at the Fermi level: 3.28 states/eV/cell
* total magnetic moment: 0.0000 μB/atom



Record 6
# Pu4Bi3H4

A relaxed Pu4Bi3H4 crystal (PBE-GGA, the Alexandria database).

```
11
Lattice="4.522 0.000 0.000 0.000 6.824 0.000 -2.261 -3.412 7.105" Properties=species:S:1:pos:R:3 pbc="T T T"
Pu 2.261 5.390 0.000
Pu 2.261 0.000 3.970
Pu 2.261 1.434 0.000
Pu 0.000 3.412 3.135
H 0.000 -1.340 4.514
H 2.261 4.752 2.591
H 0.000 1.340 4.514
H 2.261 2.072 2.591
Bi 2.261 3.412 5.308
Bi 0.000 3.412 0.000
Bi 0.000 0.000 1.797
```

* energy: -7.672 eV/atom
* V: 19.9 Å³ per atom
* density of states at the Fermi level: 41.09 states/eV/cell
* total magnetic moment: 1.8811 μB/atom
* offset from the most stable computed form: 122 meV per atom